[1]
A relaxed structure of MgIn3Mo. Source: Alexandria, functional PBE-GGA.

Lattice parameters (Å, degrees): 5.3175 5.3175 5.3175 90.00 90.00 90.00
Space group Pm-3m (No. 221)
Symmetry-distinct sites (fractional):
Mg 0.0000 0.0000 0.0000 x1
In 0.0000 0.0000 0.5000 x3
Mo 0.5000 0.5000 0.5000 x1

Calculated values
Magnetic moment: 0.878 μB per atom
ΔH_f (0 K): 1.1586 eV per atom

=====

[2]
A relaxed structure of SmGdZnRu. Source: Alexandria, functional PBE-GGA.

Lattice parameters (Å, degrees): 7.0588 7.0588 7.0588 90.00 90.00 90.00
Space group F-43m (No. 216)
Symmetry-distinct sites (fractional):
Sm 0.0000 0.0000 0.0000 x4
Gd 0.0000 0.0000 0.5000 x4
Zn 0.2500 0.2500 0.7500 x4
Ru 0.2500 0.2500 0.2500 x4

Calculated values
Magnetic moment: 1.772 μB per atom
ΔH_f (0 K): -0.2916 eV per atom

=====

[3]
A relaxed structure of Mn2CoN2. Source: Alexandria, functional PBE-GGA.

Lattice parameters (Å, degrees): 5.6615 5.6615 2.8365 90.00 90.00 90.00
Space group P4/mbm (No. 127)
Symmetry-distinct sites (fractional):
Mn 0.1588 0.3412 0.0000 x4
Co 0.0000 0.0000 0.5000 x2
N 0.1676 0.6676 0.5000 x4

Calculated values
Magnetic moment: 1.376 μB per atom
Formation energy (no corrections): 193 meV per atom

=====

| no. | density (g cm⁻³) |
| --- | --- |
| 1 | 5.13 |
| 2 | 8.95 |
| 3 | 7.19 |